DFT (meta-GGA SCAN) results for a PBEsol-optimized structure of BeZnSeBr2.

```
BeZnSeBr2
1.0
-0.855 1.421 4.603
-0.019 -4.676 1.440
4.998 0.243 0.853
Br Se Zn Be
2 1 1 1
Cartesian
-0.009 -2.338 0.720
-0.427 0.710 2.302
2.499 0.121 0.427
0.000 0.000 0.000
2.062 -1.506 3.448
```

As for the space-group type: P4/mmm. The total energy is -14.95 eV per atom. For the uncorrected formation energy, the calculation gives 0.42 eV per atom.

DFT (meta-GGA SCAN) results for a PBEsol-optimized structure of MnCoSb3.

```
MnCoSb3
1.0
-4.043 -1.791 2.050
2.719 -2.479 3.196
-0.131 3.795 3.056
Mn Co Sb
1 1 3
Cartesian
-0.727 -0.238 4.151
0.000 0.000 0.000
-0.066 1.897 1.528
-2.021 -0.895 1.025
1.360 -1.240 1.598
```

As for the space-group type: Pm-3m. The total energy is -28.96 eV per atom. For the uncorrected formation energy, the calculation gives 0.51 eV per atom.

DFT (meta-GGA SCAN) results for a PBEsol-optimized structure of Mg2FeP.

```
Mg2FeP
1.0
-3.354 1.037 1.333
-1.519 -3.150 -1.369
3.257 -0.897 3.603
Mg Fe P
2 1 1
Cartesian
-1.267 -0.458 2.459
-0.349 -2.552 1.108
-2.436 -1.056 -0.018
0.000 0.000 0.000
```

The formation enthalpy at 0 K comes out at 0.0352 eV per atom. As for the space-group type: I4/mmm. The total energy is -9.58 eV per atom.

DFT (meta-GGA SCAN) results for a PBEsol-optimized structure of Ir2PdI.

```
Ir2PdI
1.0
3.845 0.000 0.000
0.000 3.845 0.000
-1.923 -1.923 9.434
Pd I Ir
2 2 4
Cartesian
1.923 0.000 4.717
1.923 1.923 0.000
0.000 0.000 0.000
0.000 1.923 4.717
0.961 0.873 7.076
-0.961 -0.873 7.076
2.796 0.961 2.359
1.049 2.884 2.359
```

As for the space-group type: I-42d. The total energy is -52.08 eV per atom. For the uncorrected formation energy, the calculation gives 0.85 eV per atom.

DFT (meta-GGA SCAN) results for a PBEsol-optimized structure of La2ZnAs.

```
La2ZnAs
1.0
-0.782 -1.803 4.711
-3.703 -3.410 0.845
1.191 -4.837 1.112
As Zn La
1 1 2
Cartesian
-1.647 -5.025 3.334
-0.824 -2.513 1.667
-2.471 -7.538 5.001
0.000 0.000 0.000
```

The formation enthalpy at 0 K comes out at -0.1634 eV per atom. The calculation puts the excess energy over the best structure of this formula in the dataset at 775 meV/atom. As for the space-group type: F-43m. The total energy is -30.14 eV per atom.

DFT (meta-GGA SCAN) results for a PBEsol-optimized structure of MgRe2Mo.

```
MgRe2Mo
1.0
-0.505 -0.439 2.641
3.369 -2.472 0.232
2.997 4.204 1.272
Re Mo Mg
2 1 1
Cartesian
2.156 -0.440 1.744
0.020 0.028 0.008
3.682 1.700 2.392
1.501 2.106 0.637
```

The formation enthalpy at 0 K comes out at 0.2826 eV per atom. As for the space-group type: Pmm2. The total energy is -45.23 eV per atom.

DFT (meta-GGA SCAN) results for a PBEsol-optimized structure of Ba2FeF.

```
Ba2FeF
1.0
5.205 0.000 0.000
2.602 4.507 0.000
2.602 1.502 4.250
Ba F Fe
2 1 1
Cartesian
2.602 1.502 1.062
7.807 4.507 3.187
0.000 0.000 0.000
5.205 3.005 2.125
```

As for the space-group type: Fm-3m. The total energy is -25.73 eV per atom. For the uncorrected formation energy, the calculation gives -0.54 eV per atom.

DFT (meta-GGA SCAN) results for a PBEsol-optimized structure of NbTlZn2Ni.

```
NbTlZn2Ni
1.0
4.696 0.000 0.000
0.000 4.696 0.000
0.000 0.000 5.310
Nb Zn Ni Tl
1 2 1 1
Cartesian
0.000 0.000 2.655
2.348 0.000 0.000
0.000 2.348 0.000
2.348 2.348 2.655
0.000 0.000 0.000
```

The formation enthalpy at 0 K comes out at 1.5480 eV per atom. As for the space-group type: P4/mmm. The total energy is -28.19 eV per atom.

DFT (meta-GGA SCAN) results for a PBEsol-optimized structure of PRh2.

```
PRh2
1.0
3.872 0.000 0.000
1.936 3.353 0.000
1.936 1.118 3.161
P Rh
1 2
Cartesian
0.000 0.000 0.000
1.936 1.118 0.790
5.808 3.353 2.371
```

The formation enthalpy at 0 K comes out at -0.8670 eV per atom. As for the space-group type: Fm-3m. The total energy is -26.85 eV per atom.

DFT (meta-GGA SCAN) results for a PBEsol-optimized structure of Ta2ZnOs.

```
Ta2ZnOs
1.0
3.145 0.000 0.000
0.000 3.145 0.000
0.000 0.000 6.383
Zn Os Ta
1 1 2
Cartesian
0.000 0.000 3.305
1.572 1.572 4.746
0.000 0.000 6.212
1.572 1.572 1.695
```

The formation enthalpy at 0 K comes out at -0.1143 eV per atom. As for the space-group type: P4mm. The total energy is -54.75 eV per atom.

DFT (meta-GGA SCAN) results for a PBEsol-optimized structure of Zn2TcPt.

```
Zn2TcPt
1.0
2.714 0.000 0.000
0.000 4.421 0.000
0.000 0.000 4.729
Zn Tc Pt
2 1 1
Cartesian
1.357 0.000 2.364
0.000 0.000 0.000
0.000 2.211 2.364
1.357 2.211 0.000
```

The formation enthalpy at 0 K comes out at -0.0916 eV per atom. As for the space-group type: Pmmm. The total energy is -33.16 eV per atom.

DFT (meta-GGA SCAN) results for a PBEsol-optimized structure of BRh.

```
BRh
1.0
-1.411 -2.044 2.252
2.813 -0.924 -1.572
2.221 1.727 2.960
Rh B
2 2
Cartesian
1.663 -0.376 3.197
1.961 -0.866 0.442
0.000 0.000 0.000
1.111 0.864 1.480
```

The formation enthalpy at 0 K comes out at -0.4850 eV per atom. As for the space-group type: P6_3/mmc. The total energy is -21.09 eV per atom.

DFT (meta-GGA SCAN) results for a PBEsol-optimized structure of BeCdAs2.

```
BeCdAs2
1.0
-0.785 0.662 4.510
-2.354 -3.157 2.426
2.183 -2.608 3.134
As Be Cd
2 1 1
Cartesian
0.000 0.000 0.000
-0.717 -3.828 7.553
-0.478 -2.552 5.035
-0.239 -1.276 2.518
```

The formation enthalpy at 0 K comes out at 0.6030 eV per atom. The calculation puts the excess energy over the best structure of this formula in the dataset at 144 meV/atom. As for the space-group type: F-43m. The total energy is -18.18 eV per atom.

DFT (meta-GGA SCAN) results for a PBEsol-optimized structure of CrInCu.

```
CrInCu
1.0
-2.615 3.189 1.151
-4.137 -0.795 0.767
-1.511 0.191 4.002
Cu Cr In
1 1 1
Cartesian
0.000 0.000 0.000
-2.066 0.646 1.480
-4.132 1.293 2.960
```

The formation enthalpy at 0 K comes out at 0.5079 eV per atom. As for the space-group type: F-43m. The total energy is -21.82 eV per atom.

DFT (meta-GGA SCAN) results for a PBEsol-optimized structure of NaHg2Au2.

```
NaHg2Au2
1.0
3.941 0.000 0.000
0.000 3.941 0.000
-1.970 -1.970 6.942
Hg Au Na
2 2 1
Cartesian
1.970 1.970 1.398
0.000 0.000 5.544
1.970 0.000 3.471
0.000 1.970 3.471
0.000 0.000 0.000
```

The formation enthalpy at 0 K comes out at -0.1677 eV per atom. As for the space-group type: I4/mmm. The total energy is -55.94 eV per atom.

DFT (meta-GGA SCAN) results for a PBEsol-optimized structure of Ba3SrTl2Cu2HgO10.

```
Ba3SrTl2Cu2HgO10
1.0
3.822 0.000 0.000
0.000 3.822 0.000
-1.911 -1.911 21.108
O Cu Ba Tl Sr Hg
10 2 3 2 1 1
Cartesian
1.911 1.911 19.182
0.000 0.000 7.283
0.000 0.000 2.052
1.911 1.911 9.490
0.000 1.911 4.917
1.911 1.911 13.586
0.000 1.911 16.333
1.911 0.000 16.333
1.911 0.000 4.917
0.000 0.000 11.395
1.911 1.911 16.297
0.000 0.000 5.002
0.000 0.000 14.383
1.911 1.911 2.994
0.000 0.000 18.234
1.911 1.911 11.567
0.000 0.000 9.315
1.911 1.911 6.628
0.000 0.000 0.062
```

As for the space-group type: I4mm. The total energy is -25.18 eV per atom. For the uncorrected formation energy, the calculation gives -1.68 eV per atom.

DFT (meta-GGA SCAN) results for a PBEsol-optimized structure of KHf2NbS.

```
KHf2NbS
1.0
-1.618 -3.294 2.986
3.757 -2.713 -0.957
2.428 2.086 3.618
S Hf K Nb
1 2 1 1
Cartesian
1.214 1.043 1.809
-0.809 -1.647 1.493
1.878 -1.356 -0.478
0.000 0.000 0.000
2.283 -1.960 2.823
```

As for the space-group type: P4/mmm. The total energy is -33.15 eV per atom. For the uncorrected formation energy, the calculation gives 2.14 eV per atom.

DFT (meta-GGA SCAN) results for a PBEsol-optimized structure of BaLi2Ir.

```
BaLi2Ir
1.0
3.385 -0.036 0.000
-0.318 5.107 0.000
-1.534 -2.536 4.835
Ba Li Ir
1 2 1
Cartesian
1.693 -0.018 0.000
0.767 1.268 2.418
-0.767 -1.268 2.418
-0.159 2.553 0.000
```

The formation enthalpy at 0 K comes out at 0.3394 eV per atom. The calculation puts the excess energy over the best structure of this formula in the dataset at 247 meV/atom. As for the space-group type: C2/m. The total energy is -28.52 eV per atom.

DFT (meta-GGA SCAN) results for a PBEsol-optimized structure of LuRu3C.

```
LuRu3C
1.0
4.075 0.000 0.000
0.000 4.075 0.000
0.000 0.000 4.075
Ru C Lu
3 1 1
Cartesian
0.000 0.000 2.037
0.000 2.037 0.000
2.037 0.000 0.000
0.000 0.000 0.000
2.037 2.037 2.037
```

The formation enthalpy at 0 K comes out at -0.3419 eV per atom. As for the space-group type: Pm-3m. The total energy is -34.33 eV per atom.

DFT (meta-GGA SCAN) results for a PBEsol-optimized structure of CaTcCl2.

```
CaTcCl2
1.0
-0.396 -0.013 3.373
-1.787 -4.545 -1.884
5.125 -0.138 -1.056
Tc Ca Cl
1 1 2
Cartesian
0.000 0.000 0.000
1.669 -2.341 -1.470
-0.893 -2.272 -0.942
2.562 -0.069 -0.528
```

As for the space-group type: C2/m. The total energy is -15.65 eV per atom. For the uncorrected formation energy, the calculation gives -0.48 eV per atom.

DFT (meta-GGA SCAN) results for a PBEsol-optimized structure of GaSb2Au2.

```
GaSb2Au2
1.0
4.926 0.000 0.000
0.000 4.926 0.000
-2.463 -2.463 5.079
Au Sb Ga
2 2 1
Cartesian
0.000 0.000 3.738
2.463 2.463 1.341
2.463 0.000 2.540
0.000 2.463 2.540
0.000 0.000 0.000
```

As for the space-group type: I4/mmm. The total energy is -45.70 eV per atom. For the uncorrected formation energy, the calculation gives 0.14 eV per atom.

DFT (meta-GGA SCAN) results for a PBEsol-optimized structure of HgTeCl2.

```
HgTeCl2
1.0
3.464 0.000 0.000
0.000 3.464 0.000
0.000 0.000 7.922
Cl Te Hg
2 1 1
Cartesian
0.000 0.000 7.624
1.732 1.732 2.406
1.732 1.732 5.922
0.000 0.000 3.852
```

The calculation puts the excess energy over the best structure of this formula in the dataset at 110 meV/atom. As for the space-group type: P4mm. The total energy is -30.36 eV per atom. For the uncorrected formation energy, the calculation gives -0.01 eV per atom.

DFT (meta-GGA SCAN) results for a PBEsol-optimized structure of BaSrI4.

```
BaSrI4
1.0
10.235 0.000 0.000
0.000 10.607 0.000
0.000 0.000 10.682
Ba I Sr
4 16 4
Cartesian
2.559 3.205 2.671
2.559 8.508 8.012
7.676 7.402 8.012
7.676 2.098 2.671
5.524 10.077 8.229
2.701 7.564 4.696
7.534 8.346 4.696
9.828 10.077 7.794
5.524 4.773 2.453
0.407 5.834 7.794
0.407 0.530 2.888
9.828 4.773 2.888
4.710 0.530 2.453
4.710 5.834 8.229
2.417 7.564 0.645
7.534 3.043 5.986
7.818 3.043 10.037
2.701 2.260 5.986
7.818 8.346 0.645
2.417 2.260 10.037
5.117 7.955 2.503
0.000 7.955 2.838
0.000 2.652 7.844
5.117 2.652 8.179
```

As for the space-group type: Pnna. The total energy is -36.67 eV per atom. For the uncorrected formation energy, the calculation gives -1.87 eV per atom.

DFT (meta-GGA SCAN) results for a PBEsol-optimized structure of CrTc2Ag.

```
CrTc2Ag
1.0
-0.491 1.323 -2.515
-1.342 -3.808 -1.741
-3.253 2.127 3.408
Ag Cr Tc
1 1 2
Cartesian
-0.246 0.662 -1.258
-0.671 -1.904 -0.871
-2.728 -0.858 -1.572
-2.358 0.500 0.724
```

The formation enthalpy at 0 K comes out at 0.4483 eV per atom. The calculation puts the excess energy over the best structure of this formula in the dataset at 149 meV/atom. As for the space-group type: Immm. The total energy is -29.52 eV per atom.

DFT (meta-GGA SCAN) results for a PBEsol-optimized structure of Na3CaPb.

```
Na3CaPb
1.0
5.826 0.000 0.000
0.000 5.826 0.000
0.000 0.000 5.826
Na Pb Ca
3 1 1
Cartesian
0.000 0.000 2.913
0.000 2.913 0.000
2.913 0.000 0.000
0.000 0.000 0.000
2.913 2.913 2.913
```

The formation enthalpy at 0 K comes out at 0.0579 eV per atom. As for the space-group type: Pm-3m. The total energy is -19.56 eV per atom.

DFT (meta-GGA SCAN) results for a PBEsol-optimized structure of Ta2HgRu.

```
Ta2HgRu
1.0
-1.918 1.684 -3.784
-4.541 -0.033 -0.466
-2.341 3.915 0.176
Ru Ta Hg
1 2 1
Cartesian
-2.200 1.392 -1.019
-6.599 4.175 -3.056
0.000 0.000 0.000
-4.400 2.783 -2.037
```

The formation enthalpy at 0 K comes out at 0.2709 eV per atom. As for the space-group type: F-43m. The total energy is -58.77 eV per atom.

DFT (meta-GGA SCAN) results for a PBEsol-optimized structure of MnReBr2.

```
MnReBr2
1.0
4.516 0.000 0.000
2.258 3.911 0.000
2.258 1.304 3.687
Mn Br Re
1 2 1
Cartesian
4.516 2.607 1.844
2.258 1.304 0.922
6.774 3.911 2.765
0.000 0.000 0.000
```

The calculation puts the excess energy over the best structure of this formula in the dataset at 175 meV/atom. As for the space-group type: Fm-3m. The total energy is -30.98 eV per atom. For the uncorrected formation energy, the calculation gives 1.08 eV per atom.

DFT (meta-GGA SCAN) results for a PBEsol-optimized structure of LiReRu2.

```
LiReRu2
1.0
-0.607 2.723 0.508
-4.143 -1.080 0.836
3.322 -1.357 3.329
Li Ru Re
1 2 1
Cartesian
-0.304 1.361 0.254
-1.882 0.543 2.755
0.454 -0.257 1.918
-2.072 -0.540 0.418
```

The formation enthalpy at 0 K comes out at 0.2483 eV per atom. The calculation puts the excess energy over the best structure of this formula in the dataset at 327 meV/atom. As for the space-group type: Immm. The total energy is -35.54 eV per atom.